Entry 1:
{"formula": "Pr2Zn3SnAu4", "functional": "GGA-PBE", "state": "relaxed", "lattice_angstrom": [[4.421, 0.000, 0.000], [0.000, 4.421, 0.000], [0.000, 0.000, 11.088]], "species": ["Pr", "Pr", "Zn", "Zn", "Zn", "Sn", "Au", "Au", "Au", "Au"], "fractional_positions": [[0.000, 0.500, 0.243], [0.500, 0.000, 0.757], [0.000, 0.500, 0.874], [0.500, 0.000, 0.126], [0.500, 0.500, 0.500], [0.000, 0.000, 0.500], [0.000, 0.000, 0.000], [0.000, 0.500, 0.647], [0.500, 0.000, 0.353], [0.500, 0.500, 0.000]], "ef_kj_per_mol_atoms": -51.44}

Entry 2:
{"formula": "KLa2DyTe4", "functional": "GGA-PBE", "state": "relaxed", "lattice_angstrom": [[7.910, 0.000, 0.000], [0.000, 4.543, 0.000], [-2.592, 0.000, 7.595]], "species": ["K", "La", "La", "Dy", "Te", "Te", "Te", "Te"], "fractional_positions": [[0.000, 0.000, 0.000], [0.500, 0.000, 0.500], [0.500, 0.500, 0.000], [0.000, 0.500, 0.500], [0.241, 0.000, 0.737], [0.252, 0.500, 0.264], [0.748, 0.500, 0.736], [0.759, 0.000, 0.263]], "final_energy_ev_per_atom": -4.939}